[1]
Below is a relaxed structure of Cs3CuTc, with properties calculated at the PBE level.

Summary:
Magnetization = 0.00 μB/cell
Formation energy = 1.2603 eV/atom

Unit cell a=5.9232 b=5.9232 c=5.9232 alpha=90.00 beta=90.00 gamma=90.00
Positions (direct):
Cs (0.0000, 0.0000, 0.5000)
Cs (0.0000, 0.5000, 0.0000)
Cs (0.5000, 0.0000, 0.0000)
Cu (0.5000, 0.5000, 0.5000)
Tc (0.0000, 0.0000, 0.0000)

[2]
Below is a relaxed structure of Ac2Ni15Ir2, with properties calculated at the PBE level.

Summary:
Magnetization = 8.09 μB/cell
Formation energy = -0.1158 eV/atom

Unit cell a=6.4626 b=6.4626 c=6.4626 alpha=82.56 beta=82.56 gamma=82.56
Positions (direct):
Ac (0.1545, 0.1545, 0.1545)
Ac (0.8455, 0.8455, 0.8455)
Ni (0.0000, 0.5000, 0.5000)
Ni (0.1596, 0.1596, 0.6523)
Ni (0.1596, 0.6523, 0.1596)
Ni (0.2144, 0.5000, 0.7856)
Ni (0.2144, 0.7856, 0.5000)
Ni (0.3477, 0.8404, 0.8404)
Ni (0.5000, 0.0000, 0.5000)
Ni (0.5000, 0.2144, 0.7856)
Ni (0.5000, 0.5000, 0.0000)
Ni (0.5000, 0.7856, 0.2144)
Ni (0.6523, 0.1596, 0.1596)
Ni (0.7856, 0.2144, 0.5000)
Ni (0.7856, 0.5000, 0.2144)
Ni (0.8404, 0.3477, 0.8404)
Ni (0.8404, 0.8404, 0.3477)
Ir (0.3990, 0.3990, 0.3990)
Ir (0.6010, 0.6010, 0.6010)

[3]
Below is a relaxed structure of Ac2AlGa6Pd, with properties calculated at the PBE level.

Summary:
Magnetization = 0.00 μB/cell
Formation energy = -0.4711 eV/atom

Unit cell a=5.6147 b=6.8959 c=7.0133 alpha=80.72 beta=66.41 gamma=66.07
Positions (direct):
Ac (0.2479, 0.2193, 0.2858)
Ac (0.7521, 0.7807, 0.7142)
Al (0.5000, 0.5000, 0.5000)
Ga (0.2424, 0.2520, 0.7608)
Ga (0.2470, 0.5942, 0.9104)
Ga (0.2550, 0.7485, 0.2395)
Ga (0.7450, 0.2515, 0.7605)
Ga (0.7530, 0.4058, 0.0896)
Ga (0.7576, 0.7480, 0.2392)
Pd (0.0000, 0.0000, 0.0000)